No. 1
VASP calculation (PBE-GGA) on crystalline RuPt3Rh2 at its relaxed geometry.

Summary:
Formation enthalpy at 0 K ... 2.13 eV per formula unit
ΔE to the lowest computed polymorph ... 365 meV per atom
Crystal system ... tetragonal
M_tot ... 0.0 μB/f.u.
Density of states at the Fermi level ... 9.377 states/eV/f.u.

a = 7.930 Å, b = 7.930 Å, c = 8.254 Å
α = 118.71°, β = 118.71°, γ = 90.00°
Element x y z (fractional)
Ru 0.718 0.718 0.436
Ru 0.532 0.032 0.064
Ru 0.968 0.468 0.936
Ru 0.282 0.282 0.564
Rh 0.278 0.085 0.171
Rh 0.358 0.665 0.329
Rh 0.972 0.665 0.329
Rh 0.915 0.722 0.829
Rh 0.892 0.085 0.171
Rh 0.335 0.642 0.671
Rh 0.335 0.028 0.671
Rh 0.915 0.108 0.829
Pt 0.677 0.677 0.000
Pt 0.323 0.677 0.000
Pt 0.125 0.875 0.750
Pt 0.625 0.875 0.750
Pt 0.573 0.073 0.500
Pt 0.927 0.073 0.500
Pt 0.323 0.323 0.000
Pt 0.677 0.323 0.000
Pt 0.125 0.875 0.250
Pt 0.927 0.427 0.500
Pt 0.573 0.427 0.500
Pt 0.125 0.375 0.250

***

No. 2
VASP calculation (PBE-GGA) on crystalline CaYRe4 at its relaxed geometry.

Summary:
Formation enthalpy at 0 K ... 0.06 eV per formula unit
Crystal system ... cubic
M_tot ... 0.0 μB/f.u.
Density of states at the Fermi level ... 3.817 states/eV/f.u.

a = 5.423 Å, b = 5.423 Å, c = 5.423 Å
α = 60.00°, β = 60.00°, γ = 60.00°
Element x y z (fractional)
Y 0.750 0.750 0.750
Re 0.375 0.375 0.875
Re 0.375 0.875 0.375
Re 0.875 0.375 0.375
Re 0.375 0.375 0.375
Ca 0.000 0.000 0.000

***

No. 3
VASP calculation (PBE-GGA) on crystalline AcErScPt2 at its relaxed geometry.

Summary:
Formation enthalpy at 0 K ... -5.06 eV per formula unit
Crystal system ... tetragonal
M_tot ... 0.0 μB/f.u.
Density of states at the Fermi level ... 5.879 states/eV/f.u.

a = 4.589 Å, b = 4.589 Å, c = 6.800 Å
α = 109.72°, β = 109.72°, γ = 90.00°
Element x y z (fractional)
Sc 0.250 0.750 0.500
Ac 0.000 0.000 0.000
Er 0.750 0.250 0.500
Pt 0.384 0.384 0.767
Pt 0.616 0.616 0.233

***

No. 4
VASP calculation (PBE-GGA) on crystalline TaMoPb3 at its relaxed geometry.

Summary:
Formation enthalpy at 0 K ... 6.80 eV per formula unit
ΔE to the lowest computed polymorph ... 0 meV per atom
Crystal system ... cubic
M_tot ... 5.1 μB/f.u.
Density of states at the Fermi level ... 2.904 states/eV/f.u.

a = 5.496 Å, b = 5.496 Å, c = 5.496 Å
α = 90.00°, β = 90.00°, γ = 90.00°
Last column: magnetic moment on the atom in μB.
Element x y z (fractional)
Pb 0.000 0.500 0.000  0.01
Pb 0.500 0.000 0.000  0.01
Pb 0.000 0.000 0.500  0.02
Mo 0.500 0.500 0.500  3.86
Ta 0.000 0.000 0.000  0.15

***

No. 5
VASP calculation (PBE-GGA) on crystalline NbCuH2 at its relaxed geometry.

Summary:
ΔE to the lowest computed polymorph ... 147 meV per atom
Crystal system ... cubic
M_tot ... 0.0 μB/f.u.
Density of states at the Fermi level ... 1.215 states/eV/f.u.

a = 3.685 Å, b = 3.685 Å, c = 3.685 Å
α = 60.00°, β = 60.00°, γ = 60.00°
Element x y z (fractional)
Cu 0.000 0.000 0.000
Nb 0.500 0.500 0.500
H 0.750 0.750 0.750
H 0.250 0.250 0.250

***

No. 6
VASP calculation (PBE-GGA) on crystalline SrIn2Au at its relaxed geometry.

Summary:
Formation enthalpy at 0 K ... -1.70 eV per formula unit
Crystal system ... trigonal
M_tot ... 0.0 μB/f.u.
Density of states at the Fermi level ... 1.933 states/eV/f.u.

a = 6.507 Å, b = 6.507 Å, c = 6.507 Å
α = 42.59°, β = 42.59°, γ = 42.59°
Element x y z (fractional)
In 0.034 0.034 0.034
In 0.466 0.466 0.466
Au 0.750 0.750 0.750
Sr 0.250 0.250 0.250

***

No. 7
VASP calculation (PBE-GGA) on crystalline LiTmCdSn at its relaxed geometry.

Summary:
Formation enthalpy at 0 K ... -1.69 eV per formula unit
ΔE to the lowest computed polymorph ... 6 meV per atom
Crystal system ... cubic
M_tot ... 0.0 μB/f.u.
Density of states at the Fermi level ... 1.241 states/eV/f.u.

a = 5.068 Å, b = 5.068 Å, c = 5.068 Å
α = 60.00°, β = 60.00°, γ = 60.00°
Element x y z (fractional)
Tm 0.500 0.500 0.500
Cd 0.750 0.750 0.750
Sn 0.250 0.250 0.250
Li 0.000 0.000 0.000

***

No. 8
VASP calculation (PBE-GGA) on crystalline MnCr at its relaxed geometry.

Summary:
Formation enthalpy at 0 K ... 0.13 eV per formula unit
Crystal system ... orthorhombic
M_tot ... 1.0 μB/f.u.
Density of states at the Fermi level ... 2.705 states/eV/f.u.

a = 2.453 Å, b = 2.453 Å, c = 7.966 Å
α = 90.00°, β = 90.00°, γ = 109.33°
Last column: magnetic moment on the atom in μB.
Element x y z (fractional)
Mn 0.000 0.000 0.499  1.11
Mn 0.500 0.500 0.251  1.11
Cr 0.500 0.500 0.748  -0.07
Cr 0.000 0.000 0.002  -0.07

***

No. 9
VASP calculation (PBE-GGA) on crystalline Rb4TbHo3Se8 at its relaxed geometry.

Summary:
Energy relative to the elements, uncorrected ... -1.737 eV/atom
Crystal system ... trigonal
M_tot ... 0.0 μB/f.u.
Density of states at the Fermi level ... 0.000 states/eV/f.u.

a = 8.467 Å, b = 9.368 Å, c = 8.468 Å
α = 116.87°, β = 120.00°, γ = 90.00°
Element x y z (fractional)
Tb 0.000 0.500 0.000
Ho 0.500 0.500 0.500
Ho 0.000 0.500 0.500
Ho 0.500 0.500 0.000
Rb 0.000 0.000 0.000
Rb 0.000 0.000 0.500
Rb 0.500 0.000 0.000
Rb 0.500 0.000 0.500
Se 0.767 0.305 0.037
Se 0.268 0.305 0.537
Se 0.732 0.695 0.463
Se 0.233 0.695 0.963
Se 0.767 0.305 0.535
Se 0.730 0.695 0.963
Se 0.270 0.305 0.037
Se 0.233 0.695 0.465

***

No. 10
VASP calculation (PBE-GGA) on crystalline FeAs2Os at its relaxed geometry.

Summary:
Formation enthalpy at 0 K ... 1.67 eV per formula unit
ΔE to the lowest computed polymorph ... 308 meV per atom
Crystal system ... tetragonal
M_tot ... 0.0 μB/f.u.
Density of states at the Fermi level ... 2.959 states/eV/f.u.

a = 5.376 Å, b = 5.376 Å, c = 6.588 Å
α = 65.92°, β = 65.92°, γ = 90.00°
Element x y z (fractional)
Fe 0.250 0.750 0.500
Fe 0.500 0.500 0.000
As 0.609 0.125 0.250
As 0.875 0.859 0.750
As 0.375 0.391 0.750
As 0.141 0.625 0.250
Os 0.750 0.250 0.500
Os 0.000 0.000 0.000